1.
Below is crystalline TbPr4Tl4 at its relaxed geometry, with properties calculated at the PBE-GGA level.

abc: 6.339 9.398 9.398
angles: 90.00 90.00 90.00
Fractional positions:
Tb 0.000 0.000 0.000
Tb 0.500 0.500 0.500
Pr 0.368 0.425 0.830
Pr 0.868 0.670 0.925
Pr 0.368 0.575 0.170
Pr 0.132 0.075 0.670
Pr 0.632 0.830 0.575
Pr 0.132 0.925 0.330
Pr 0.868 0.330 0.075
Pr 0.632 0.170 0.425
Tl 0.622 0.900 0.203
Tl 0.622 0.100 0.797
Tl 0.122 0.703 0.600
Tl 0.878 0.400 0.703
Tl 0.878 0.600 0.297
Tl 0.378 0.203 0.100
Tl 0.378 0.797 0.900
Tl 0.122 0.297 0.400

Properties
- space group = No. 86
- formation energy from the elements (eV/atom) = -0.20
- spin magnetization (Bohr magnetons per cell) = 0.00


2.
Below is crystalline BaLiNpBr6 at its relaxed geometry, with properties calculated at the PBE-GGA level.

abc: 7.338 7.338 14.093
angles: 90.00 90.00 120.00
Fractional positions:
Ba 0.000 0.000 0.000
Ba 0.000 0.000 0.500
Li 0.333 0.667 0.250
Li 0.667 0.333 0.750
Np 0.667 0.333 0.250
Np 0.333 0.667 0.750
Br 0.633 0.644 0.136
Br 0.010 0.367 0.136
Br 0.367 0.010 0.636
Br 0.990 0.633 0.864
Br 0.356 0.367 0.364
Br 0.010 0.644 0.364
Br 0.644 0.010 0.864
Br 0.633 0.990 0.364
Br 0.990 0.356 0.636
Br 0.356 0.990 0.136
Br 0.644 0.633 0.636
Br 0.367 0.356 0.864

Properties
- space group = No. 163
- formation energy without anion corrections (eV/atom) = -1.6313
- spin magnetization (Bohr magnetons per cell) = 8.00


3.
Below is crystalline NbCd3B at its relaxed geometry, with properties calculated at the PBE-GGA level.

abc: 4.533 4.533 4.533
angles: 90.00 90.00 90.00
Fractional positions:
Nb 0.500 0.500 0.500
B 0.000 0.000 0.000
Cd 0.000 0.500 0.000
Cd 0.000 0.000 0.500
Cd 0.500 0.000 0.000

Properties
- relative energy among the computed polymorphs (eV/atom) = 0.000
- space group = No. 221
- formation energy from the elements (eV/atom) = 0.93
- spin magnetization (Bohr magnetons per cell) = 0.00


4.
Below is crystalline AcPr3Nd5 at its relaxed geometry, with properties calculated at the PBE-GGA level.

abc: 8.709 8.709 14.231
angles: 58.32 58.32 84.67
Fractional positions:
Ac 0.998 0.998 0.749
Ac 0.002 0.002 0.251
Pr 0.667 0.667 0.829
Pr 0.663 0.663 0.319
Pr 0.000 0.000 0.000
Pr 0.000 0.000 0.500
Pr 0.333 0.333 0.171
Pr 0.337 0.337 0.681
Nd 0.954 0.450 0.406
Nd 0.257 0.743 0.000
Nd 0.654 0.654 0.087
Nd 0.342 0.342 0.421
Nd 0.658 0.658 0.579
Nd 0.346 0.346 0.913
Nd 0.450 0.954 0.406
Nd 0.743 0.257 0.000
Nd 0.046 0.550 0.594
Nd 0.550 0.046 0.594

Properties
- relative energy among the computed polymorphs (eV/atom) = 0.303
- space group = No. 12
- formation energy from the elements (eV/atom) = 0.49
- spin magnetization (Bohr magnetons per cell) = 0.00


5.
Below is crystalline PuNiB at its relaxed geometry, with properties calculated at the PBE-GGA level.

abc: 3.907 3.608 3.608
angles: 120.00 90.00 90.00
Fractional positions:
Ni 0.167 0.667 0.333
B 0.167 0.000 0.000
Pu 0.667 0.333 0.667

Properties
- relative energy among the computed polymorphs (eV/atom) = 0.045
- space group = No. 187
- formation energy from the elements (eV/atom) = -0.13
- spin magnetization (Bohr magnetons per cell) = 5.11


6.
Below is crystalline KNp2Br11 at its relaxed geometry, with properties calculated at the PBE-GGA level.

abc: 13.050 11.779 11.779
angles: 67.30 56.36 56.36
Fractional positions:
K 0.750 0.750 0.750
K 0.250 0.250 0.250
Np 0.656 0.654 0.346
Np 0.344 0.346 0.654
Np 0.844 0.154 0.846
Np 0.156 0.846 0.154
Br 0.629 0.681 0.578
Br 0.371 0.319 0.422
Br 0.112 0.578 0.681
Br 0.871 0.922 0.819
Br 0.888 0.422 0.319
Br 0.129 0.078 0.181
Br 0.388 0.819 0.922
Br 0.612 0.181 0.078
Br 0.500 0.500 0.500
Br 0.000 0.000 0.000
Br 0.799 0.795 0.205
Br 0.201 0.205 0.795
Br 0.701 0.295 0.705
Br 0.299 0.705 0.295
Br 0.425 0.888 0.372
Br 0.575 0.112 0.628
Br 0.315 0.372 0.888
Br 0.075 0.128 0.612
Br 0.685 0.628 0.112
Br 0.925 0.872 0.388
Br 0.185 0.612 0.128
Br 0.815 0.388 0.872

Properties
- space group = No. 72
- formation energy without anion corrections (eV/atom) = -1.1368
- spin magnetization (Bohr magnetons per cell) = 8.00


7.
Below is crystalline P2IrAu at its relaxed geometry, with properties calculated at the PBE-GGA level.

abc: 2.859 3.757 7.510
angles: 81.11 79.03 67.67
Fractional positions:
P 0.637 0.546 0.178
P 0.363 0.454 0.822
Ir 0.000 0.000 0.000
Au 0.500 0.500 0.500

Properties
- relative energy among the computed polymorphs (eV/atom) = 0.000
- space group = No. 12
- formation energy from the elements (eV/atom) = -0.23
- spin magnetization (Bohr magnetons per cell) = 0.00


8.
Below is crystalline RbCd4Sn at its relaxed geometry, with properties calculated at the PBE-GGA level.

abc: 6.215 6.215 6.215
angles: 60.00 60.00 60.00
Fractional positions:
Sn 0.000 0.000 0.000
Rb 0.250 0.250 0.250
Cd 0.625 0.625 0.124
Cd 0.625 0.124 0.625
Cd 0.625 0.625 0.625
Cd 0.124 0.625 0.625

Properties
- space group = No. 216
- formation energy from the elements (eV/atom) = 0.01
- spin magnetization (Bohr magnetons per cell) = 0.00


9.
Below is crystalline BeSnAsSe2 at its relaxed geometry, with properties calculated at the PBE-GGA level.

abc: 4.996 4.996 4.239
angles: 90.00 90.00 90.00
Fractional positions:
Be 0.000 0.000 0.000
As 0.000 0.000 0.500
Sn 0.500 0.500 0.500
Se 0.000 0.500 0.000
Se 0.500 0.000 0.000

Properties
- relative energy among the computed polymorphs (eV/atom) = 0.000
- space group = No. 123
- formation energy without anion corrections (eV/atom) = 0.1433
- spin magnetization (Bohr magnetons per cell) = 0.00


10.
Below is crystalline Ce2CrP4Ir3 at its relaxed geometry, with properties calculated at the PBE-GGA level.

abc: 4.176 4.176 9.500
angles: 90.00 90.00 90.00
Fractional positions:
Ce 0.500 0.000 0.244
Ce 0.000 0.500 0.756
Cr 0.500 0.500 0.500
P 0.500 0.500 0.000
P 0.000 0.000 0.000
P 0.500 0.000 0.634
P 0.000 0.500 0.366
Ir 0.000 0.000 0.500
Ir 0.500 0.000 0.887
Ir 0.000 0.500 0.113

Properties
- space group = No. 115
- formation energy from the elements (eV/atom) = -0.99
- spin magnetization (Bohr magnetons per cell) = 2.25


11.
Below is crystalline Ac5Tl6Zn at its relaxed geometry, with properties calculated at the PBE-GGA level.

abc: 5.575 8.437 10.108
angles: 114.67 106.01 90.00
Fractional positions:
Zn 0.000 0.000 0.000
Ac 0.366 0.866 0.732
Ac 0.681 0.681 0.362
Ac 0.000 0.500 0.000
Ac 0.319 0.319 0.638
Ac 0.634 0.134 0.268
Tl 0.165 0.421 0.330
Tl 0.165 0.910 0.330
Tl 0.500 0.278 0.000
Tl 0.500 0.722 0.000
Tl 0.835 0.090 0.670
Tl 0.835 0.579 0.670

Properties
- space group = No. 71
- formation energy from the elements (eV/atom) = -0.27
- spin magnetization (Bohr magnetons per cell) = 0.00


12.
Below is crystalline Pm3CoAg at its relaxed geometry, with properties calculated at the PBE-GGA level.

abc: 3.810 8.384 8.462
angles: 87.54 90.01 103.13
Fractional positions:
Pm 0.079 0.190 0.416
Pm 0.420 0.872 0.660
Pm 0.624 0.282 0.762
Pm 0.965 0.964 0.006
Pm 0.268 0.568 0.008
Pm 0.776 0.586 0.414
Co 0.241 0.514 0.652
Co 0.803 0.639 0.769
Ag 0.429 0.890 0.285
Ag 0.616 0.264 0.137

Properties
- relative energy among the computed polymorphs (eV/atom) = 0.000
- space group = No. 12
- formation energy from the elements (eV/atom) = -0.14
- spin magnetization (Bohr magnetons per cell) = 0.01


13.
Below is crystalline Pa2Al9Cu at its relaxed geometry, with properties calculated at the PBE-GGA level.

abc: 4.247 4.247 12.242
angles: 90.00 90.00 90.00
Fractional positions:
Pa 0.000 0.000 0.324
Pa 0.000 0.000 0.676
Al 0.500 0.500 0.000
Al 0.500 0.500 0.327
Al 0.500 0.500 0.673
Al 0.500 0.000 0.143
Al 0.500 0.000 0.500
Al 0.500 0.000 0.857
Al 0.000 0.500 0.143
Al 0.000 0.500 0.500
Al 0.000 0.500 0.857
Cu 0.000 0.000 0.000

Properties
- space group = No. 123
- formation energy from the elements (eV/atom) = -0.14
- spin magnetization (Bohr magnetons per cell) = 0.00


14.
Below is crystalline CeReC2 at its relaxed geometry, with properties calculated at the PBE-GGA level.

abc: 2.992 6.152 5.661
angles: 90.00 90.00 104.07
Fractional positions:
Ce 0.949 0.898 0.250
Ce 0.051 0.102 0.750
Re 0.215 0.430 0.250
Re 0.785 0.570 0.750
C 0.356 0.711 0.529
C 0.644 0.289 0.471
C 0.644 0.289 0.029
C 0.356 0.711 0.971

Properties
- relative energy among the computed polymorphs (eV/atom) = 0.084
- space group = No. 63
- formation energy from the elements (eV/atom) = 0.16
- spin magnetization (Bohr magnetons per cell) = 0.00


15.
Below is crystalline SrScB at its relaxed geometry, with properties calculated at the PBE-GGA level.

abc: 13.478 3.385 3.385
angles: 60.01 89.71 82.68
Fractional positions:
Sc 0.015 0.085 0.961
Sc 0.765 0.250 0.883
Sr 0.257 0.591 0.704
Sr 0.523 0.744 0.139
B 0.887 0.503 0.255
B 0.892 0.833 0.590

Properties
- relative energy among the computed polymorphs (eV/atom) = 0.061
- space group = No. 2
- formation energy from the elements (eV/atom) = -0.07
- spin magnetization (Bohr magnetons per cell) = 0.00


16.
Below is crystalline Np2PPt at its relaxed geometry, with properties calculated at the PBE-GGA level.

abc: 3.867 3.867 7.404
angles: 74.86 74.86 60.00
Fractional positions:
Np 0.252 0.252 0.243
Np 0.748 0.748 0.757
P 0.000 0.000 0.000
Pt 0.500 0.500 0.500

Properties
- space group = No. 166
- formation energy from the elements (eV/atom) = -0.53
- spin magnetization (Bohr magnetons per cell) = 8.06


17.
Below is crystalline Ce5Sb2P at its relaxed geometry, with properties calculated at the PBE-GGA level.

abc: 5.630 5.650 16.444
angles: 90.00 90.00 119.88
Fractional positions:
Ce 0.924 0.847 0.889
Ce 0.924 0.847 0.611
Ce 0.424 0.848 0.389
Ce 0.424 0.848 0.111
Ce 0.750 0.500 0.250
Ce 0.250 0.500 0.750
Ce 0.576 0.152 0.611
Ce 0.576 0.152 0.889
Ce 0.076 0.153 0.111
Ce 0.076 0.153 0.389
Sb 0.750 0.500 0.439
Sb 0.750 0.500 0.061
Sb 0.250 0.500 0.561
Sb 0.250 0.500 0.939
P 0.750 0.500 0.750
P 0.250 0.500 0.250

Properties
- space group = No. 69
- formation energy without anion corrections (eV/atom) = -0.6765
- spin magnetization (Bohr magnetons per cell) = 13.21


18.
Below is crystalline Mg6Tl2Rh at its relaxed geometry, with properties calculated at the PBE-GGA level.

abc: 3.307 8.228 8.225
angles: 120.01 90.00 90.00
Fractional positions:
Mg 0.500 0.647 0.000
Mg 0.500 0.353 0.353
Mg 0.500 0.000 0.647
Mg 0.000 0.256 0.000
Mg 0.000 0.744 0.744
Mg 0.000 0.000 0.256
Tl 0.000 0.333 0.667
Tl 0.000 0.667 0.333
Rh 0.500 0.000 0.000

Properties
- space group = No. 189
- formation energy from the elements (eV/atom) = -0.20
- spin magnetization (Bohr magnetons per cell) = 0.00


19.
Below is crystalline NaPmNd2Se4 at its relaxed geometry, with properties calculated at the PBE-GGA level.

abc: 4.206 7.325 7.321
angles: 109.17 90.00 90.00
Fractional positions:
Na 0.500 0.500 0.000
Pm 0.000 0.000 0.000
Nd 0.500 0.000 0.500
Nd 0.000 0.500 0.500
Se 0.500 0.250 0.246
Se 0.500 0.750 0.754
Se 0.000 0.249 0.751
Se 0.000 0.751 0.249

Properties
- space group = No. 10
- formation energy without anion corrections (eV/atom) = -1.7682
- spin magnetization (Bohr magnetons per cell) = 0.00


20.
Below is crystalline Zr2Tl2Cd at its relaxed geometry, with properties calculated at the PBE-GGA level.

abc: 8.514 8.514 3.444
angles: 90.00 90.00 90.00
Fractional positions:
Tl 0.177 0.677 0.500
Tl 0.677 0.823 0.500
Tl 0.823 0.323 0.500
Tl 0.323 0.177 0.500
Zr 0.376 0.876 0.000
Zr 0.876 0.624 0.000
Zr 0.624 0.124 0.000
Zr 0.124 0.376 0.000
Cd 0.000 0.000 0.000
Cd 0.500 0.500 0.000

Properties
- relative energy among the computed polymorphs (eV/atom) = 0.033
- space group = No. 127
- formation energy from the elements (eV/atom) = 0.13
- spin magnetization (Bohr magnetons per cell) = 0.00


21.
Below is crystalline Ba2IrPdN at its relaxed geometry, with properties calculated at the PBE-GGA level.

abc: 5.828 5.828 3.775
angles: 90.00 90.00 90.00
Fractional positions:
Ir 0.000 0.000 0.500
Ba 0.000 0.500 0.000
Ba 0.500 0.000 0.000
Pd 0.500 0.500 0.500
N 0.000 0.000 0.000

Properties
- space group = No. 123
- formation energy without anion corrections (eV/atom) = -0.4811
- spin magnetization (Bohr magnetons per cell) = 0.00


22.
Below is crystalline Ac2PmHoO6 at its relaxed geometry, with properties calculated at the PBE-GGA level.

abc: 6.080 6.271 8.777
angles: 90.00 90.18 90.00
Fractional positions:
Ac 0.016 0.952 0.251
Ac 0.516 0.548 0.751
Ac 0.984 0.048 0.749
Ac 0.484 0.452 0.249
Pm 0.500 0.000 0.000
Pm 0.000 0.500 0.500
Ho 0.500 0.000 0.500
Ho 0.000 0.500 0.000
O 0.299 0.693 0.066
O 0.799 0.807 0.566
O 0.701 0.307 0.934
O 0.201 0.193 0.434
O 0.309 0.702 0.432
O 0.809 0.798 0.932
O 0.691 0.298 0.568
O 0.191 0.202 0.068
O 0.876 0.557 0.245
O 0.376 0.943 0.745
O 0.124 0.443 0.755
O 0.624 0.057 0.255

Properties
- space group = No. 14
- formation energy without anion corrections (eV/atom) = -3.3980
- spin magnetization (Bohr magnetons per cell) = 0.00